This record from Alexandria via LeMat-Bulk describes crystalline LiMn2IrO6 at its relaxed geometry. The functional is GGA+U.

a b c (Å): 5.1244 5.1244 14.2007
angles (deg): 90.00 90.00 120.00
Space group R3 (No. 146, hexagonal axes)
One atom of each set of equivalent atoms:
Li: 0.0000 0.0000 0.0000 [3 per cell]
Mn: 0.0000 0.0000 0.2081 [3 per cell]
Mn: 0.0000 0.0000 0.7228 [3 per cell]
Ir: 0.0000 0.0000 0.5250 [3 per cell]
O: 0.0122 0.3166 0.1218 [9 per cell]
O: 0.0407 0.6918 0.2787 [9 per cell]

Values from the calculation:
Total magnetization = 17.966 μB/cell
VASP energy = -6.87 eV/atom